A plane-wave DFT calculation with PBE-GGA was carried out for crystalline AlHg2 at its relaxed geometry.

Cell: 4.3656 4.3656 4.3334 Å, 90.00 90.00 120.00°
Closest atoms and distances in Å follow each position.
Element x y z (fractional)
1 Al 0.0000 0.0000 0.0000  6 Hg 2.84
2 Hg 0.3333 0.6667 0.3001  3 Al 2.84, 3 Hg 3.06
3 Hg 0.6667 0.3333 0.6999  3 Al 2.84, 3 Hg 3.06

Results
calculated formation energy: 159.5 meV/atom
electronic total energy: -3.9 eV for the cell shown
SG: P-3m1
spin magnetization: 0.0 Bohr magnetons per cell

A plane-wave DFT calculation with PBE-GGA was carried out for crystalline AlHg2 at its relaxed geometry.

Cell: 7.2638 3.9341 9.6730 Å, 90.00 90.00 90.00°
Closest atoms and distances in Å follow each position.
Element x y z (fractional)
1 Al 0.1835 0.2500 0.1767  8 Hg 2.85-2.95
2 Al 0.3165 0.7500 0.6767  8 Hg 2.85-2.95
3 Al 0.6835 0.2500 0.3233  8 Hg 2.85-2.95
4 Al 0.8165 0.7500 0.8233  8 Hg 2.85-2.95
5 Hg 0.0136 0.2500 0.6674  4 Al 2.86-2.95, 1 Hg 3.08
6 Hg 0.1753 0.7500 0.9512  4 Al 2.85-2.94, 1 Hg 3.08
7 Hg 0.3247 0.2500 0.4512  4 Al 2.85-2.94, 1 Hg 3.08
8 Hg 0.4864 0.7500 0.1674  4 Al 2.86-2.95, 1 Hg 3.08
9 Hg 0.5136 0.2500 0.8326  4 Al 2.86-2.95, 1 Hg 3.08
10 Hg 0.6753 0.7500 0.5488  4 Al 2.85-2.94, 1 Hg 3.08
11 Hg 0.8247 0.2500 0.0488  4 Al 2.85-2.94, 1 Hg 3.08
12 Hg 0.9864 0.7500 0.3326  4 Al 2.86-2.95, 1 Hg 3.08

Results
calculated formation energy: 130.8 meV/atom
electronic total energy: -15.8 eV for the cell shown
SG: Pnma
spin magnetization: 0.0 Bohr magnetons per cell

A plane-wave DFT calculation with PBE-GGA was carried out for crystalline Al3Hg at its relaxed geometry.

Cell: 4.7851 4.7851 4.7851 Å, 60.00 60.00 60.00°
Closest atoms and distances in Å follow each position.
Element x y z (fractional)
1 Al 0.0000 0.0000 0.0000  8 Al 2.93
2 Al 0.2500 0.2500 0.2500  4 Hg 2.93, 4 Al 2.93
3 Al 0.7500 0.7500 0.7500  4 Hg 2.93, 4 Al 2.93
4 Hg 0.5000 0.5000 0.5000  8 Al 2.93

Results
calculated formation energy: 258.1 meV/atom
electronic total energy: -10.5 eV for the cell shown
SG: Fm-3m
spin magnetization: 0.0 Bohr magnetons per cell

A plane-wave DFT calculation with PBE-GGA was carried out for crystalline Al3Hg at its relaxed geometry.

Cell: 4.0586 6.3057 6.2503 Å, 90.00 90.00 90.00°
Closest atoms and distances in Å follow each position.
Element x y z (fractional)
1 Al 0.2500 0.0351 0.1542  6 Al 2.71-2.83, 2 Hg 2.99
2 Al 0.2500 0.2500 0.7635  6 Al 2.76-2.79, 2 Hg 2.91
3 Al 0.2500 0.4649 0.1542  6 Al 2.71-2.83, 2 Hg 2.99
4 Al 0.7500 0.5351 0.8458  6 Al 2.71-2.83, 2 Hg 2.99
5 Al 0.7500 0.7500 0.2365  6 Al 2.76-2.79, 2 Hg 2.91
6 Al 0.7500 0.9649 0.8458  6 Al 2.71-2.83, 2 Hg 2.99
7 Hg 0.2500 0.7500 0.5693  8 Al 2.91-3.16
8 Hg 0.7500 0.2500 0.4307  8 Al 2.91-3.16

Results
calculated formation energy: 155.5 meV/atom
electronic total energy: -21.8 eV for the cell shown
SG: Pmmn
spin magnetization: 0.0 Bohr magnetons per cell

A plane-wave DFT calculation with PBE-GGA was carried out for crystalline AlHg3 at its relaxed geometry.

Cell: 3.3747 4.9725 5.8720 Å, 90.00 102.63 90.00°
Closest atoms and distances in Å follow each position.
Element x y z (fractional)
1 Al 0.0000 0.0000 0.0000  6 Hg 2.94-2.97
2 Hg 0.0000 0.0000 0.5000  2 Al 2.94
3 Hg 0.3563 0.5000 0.2352  2 Al 2.97, 5 Hg 3.05-3.30
4 Hg 0.6437 0.5000 0.7648  2 Al 2.97, 5 Hg 3.05-3.30

Results
calculated formation energy: 144.7 meV/atom
electronic total energy: -4.1 eV for the cell shown
SG: P2/m
spin magnetization: 0.0 Bohr magnetons per cell

A plane-wave DFT calculation with PBE-GGA was carried out for crystalline AlHg3 at its relaxed geometry.

Cell: 5.6173 5.6173 3.2739 Å, 90.00 90.00 113.17°
Closest atoms and distances in Å follow each position.
Element x y z (fractional)
1 Al 0.0000 0.0000 0.0000  10 Hg 3.09-3.25, 2 Al 3.27
2 Hg 0.0000 0.5000 0.5000  8 Hg 3.09-3.27, 4 Al 3.25
3 Hg 0.5000 0.0000 0.5000  8 Hg 3.09-3.27, 4 Al 3.25
4 Hg 0.5000 0.5000 0.0000  2 Al 3.09, 10 Hg 3.25-3.27

Results
calculated formation energy: 170.8 meV/atom
electronic total energy: -4.0 eV for the cell shown
SG: Cmmm
spin magnetization: 0.0 Bohr magnetons per cell

A plane-wave DFT calculation with PBE-GGA was carried out for crystalline Al3Hg4 at its relaxed geometry.

Cell: 5.4453 5.4453 6.1352 Å, 90.00 90.00 120.00°
Closest atoms and distances in Å follow each position.
Element x y z (fractional)
1 Al 0.0000 0.5000 0.0000  4 Al 2.72
2 Al 0.5000 0.0000 0.0000  4 Al 2.72
3 Al 0.5000 0.5000 0.0000  4 Al 2.72
4 Hg 0.0000 0.0000 0.2584  2 Hg 2.96-3.17, 6 Al 3.15
5 Hg 0.0000 0.0000 0.7416  2 Hg 2.96-3.17, 6 Al 3.15
6 Hg 0.3333 0.6667 0.5000  9 Hg 3.14-3.48, 6 Al 3.45
7 Hg 0.6667 0.3333 0.5000  9 Hg 3.14-3.48, 6 Al 3.45

Results
calculated formation energy: 195.2 meV/atom
electronic total energy: -11.1 eV for the cell shown
SG: P6/mmm
spin magnetization: 0.0 Bohr magnetons per cell

A plane-wave DFT calculation with PBE-GGA was carried out for crystalline Al3Hg at its relaxed geometry.

Cell: 5.5018 5.5018 5.5018 Å, 116.67 116.67 116.67°
Closest atoms and distances in Å follow each position.
Element x y z (fractional)
1 Al 0.0000 0.5000 0.5000  6 Al 2.89-3.05, 2 Hg 2.89
2 Al 0.5000 0.0000 0.5000  2 Hg 2.89, 6 Al 2.89-3.05
3 Al 0.5000 0.5000 0.0000  6 Al 2.89-3.05, 2 Hg 2.89
4 Hg 0.0000 0.0000 0.0000  6 Al 2.89, 2 Hg 3.05

Results
calculated formation energy: 212.8 meV/atom
electronic total energy: -10.7 eV for the cell shown
SG: R-3m
spin magnetization: 0.0 Bohr magnetons per cell